[1]
This record from Alexandria describes a relaxed Al3AgB crystal. The functional is GGA-PBE.

Results
Its energy of formation from the pure elements is 1311 meV/atom. The calculation puts the size of the total moment at 0.00 μB/f.u. The calculation puts the energy relative to the lowest polymorph listed for this composition at 1034.2 meV per atom.

Cell and atoms, written as CIF:
```
data_Al3AgB
_chemical_formula_sum 'Al3 Ag1 B1'
_cell_length_a 4.790
_cell_length_b 4.790
_cell_length_c 4.790
_cell_angle_alpha 90.00
_cell_angle_beta 90.00
_cell_angle_gamma 90.00
_space_group_name_H-M_alt 'P m -3 m'
_space_group_IT_number 221
_space_group_name_Hall '-P 4 2 3'
loop_
_atom_site_label
_atom_site_type_symbol
_atom_site_fract_x
_atom_site_fract_y
_atom_site_fract_z
Al1 Al 0.000 0.000 0.500
Ag1 Ag 0.000 0.000 0.000
B1 B 0.500 0.500 0.500
```

***

[2]
This record from Alexandria describes a relaxed AlAg2B crystal. The functional is GGA-PBE.

Results
Its energy of formation from the pure elements is 767 meV/atom. The calculation puts the size of the total moment at 0.00 μB/f.u. The calculation puts the energy relative to the lowest polymorph listed for this composition at 28.8 meV per atom.

Cell and atoms, written as CIF:
```
data_AlAg2B
_chemical_formula_sum 'Al4 Ag8 B4'
_cell_length_a 6.185
_cell_length_b 6.185
_cell_length_c 6.185
_cell_angle_alpha 90.00
_cell_angle_beta 90.00
_cell_angle_gamma 90.00
_space_group_name_H-M_alt 'F m -3 m'
_space_group_IT_number 225
_space_group_name_Hall '-F 4 2 3'
loop_
_atom_site_label
_atom_site_type_symbol
_atom_site_fract_x
_atom_site_fract_y
_atom_site_fract_z
Al1 Al 0.000 0.000 0.000
Ag1 Ag 0.250 0.250 0.250
B1 B 0.000 0.000 0.500
```

***

[3]
This record from Alexandria describes a relaxed AlAgB3 crystal. The functional is GGA-PBE.

Results
Its energy of formation from the pure elements is 1784 meV/atom. The calculation puts the size of the total moment at 0.00 μB/f.u. The calculation puts the energy relative to the lowest polymorph listed for this composition at 0.0 meV per atom.

Cell and atoms, written as CIF:
```
data_AlAgB3
_chemical_formula_sum 'Al1 Ag1 B3'
_cell_length_a 4.173
_cell_length_b 4.173
_cell_length_c 4.173
_cell_angle_alpha 90.00
_cell_angle_beta 90.00
_cell_angle_gamma 90.00
_space_group_name_H-M_alt 'P m -3 m'
_space_group_IT_number 221
_space_group_name_Hall '-P 4 2 3'
loop_
_atom_site_label
_atom_site_type_symbol
_atom_site_fract_x
_atom_site_fract_y
_atom_site_fract_z
Al1 Al 0.000 0.000 0.000
Ag1 Ag 0.500 0.500 0.500
B1 B 0.000 0.000 0.500
```

***

[4]
This record from Alexandria describes a relaxed AlAgB3 crystal. The functional is GGA-PBE.

Results
Its energy of formation from the pure elements is 2009 meV/atom. The calculation puts the size of the total moment at 0.00 μB/f.u. The calculation puts the energy relative to the lowest polymorph listed for this composition at 225.1 meV per atom.

Cell and atoms, written as CIF:
```
data_AlAgB3
_chemical_formula_sum 'Al1 Ag1 B3'
_cell_length_a 4.220
_cell_length_b 4.220
_cell_length_c 4.220
_cell_angle_alpha 90.00
_cell_angle_beta 90.00
_cell_angle_gamma 90.00
_space_group_name_H-M_alt 'P m -3 m'
_space_group_IT_number 221
_space_group_name_Hall '-P 4 2 3'
loop_
_atom_site_label
_atom_site_type_symbol
_atom_site_fract_x
_atom_site_fract_y
_atom_site_fract_z
Al1 Al 0.000 0.000 0.000
Ag1 Ag 0.500 0.500 0.500
B1 B 0.000 0.500 0.500
```

***

[5]
This record from Alexandria describes a relaxed AlAgB2Cl crystal. The functional is GGA-PBE.

Results
The raw formation energy is 1.22 eV per atom. The calculation puts the size of the total moment at 0.00 μB/f.u.

Cell and atoms, written as CIF:
```
data_AlAgB2Cl
_chemical_formula_sum 'Al1 Ag1 B2 Cl1'
_cell_length_a 4.109
_cell_length_b 4.109
_cell_length_c 5.673
_cell_angle_alpha 90.00
_cell_angle_beta 90.00
_cell_angle_gamma 90.00
_space_group_name_H-M_alt 'P 4/m m m'
_space_group_IT_number 123
_space_group_name_Hall '-P 4 2'
loop_
_atom_site_label
_atom_site_type_symbol
_atom_site_fract_x
_atom_site_fract_y
_atom_site_fract_z
Al1 Al 0.000 0.000 0.000
Ag1 Ag 0.000 0.000 0.500
B1 B 0.000 0.500 0.000
Cl1 Cl 0.500 0.500 0.500
```

***

[6]
This record from Alexandria describes a relaxed Al2CuAgB crystal. The functional is GGA-PBE.

Results
Its energy of formation from the pure elements is 225 meV/atom. The calculation puts the size of the total moment at 0.00 μB/f.u.

Cell and atoms, written as CIF:
```
data_Al2CuAgB
_chemical_formula_sum 'Al2 Cu1 Ag1 B1'
_cell_length_a 4.205
_cell_length_b 4.205
_cell_length_c 4.074
_cell_angle_alpha 90.00
_cell_angle_beta 90.00
_cell_angle_gamma 90.00
_space_group_name_H-M_alt 'P 4/m m m'
_space_group_IT_number 123
_space_group_name_Hall '-P 4 2'
loop_
_atom_site_label
_atom_site_type_symbol
_atom_site_fract_x
_atom_site_fract_y
_atom_site_fract_z
Al1 Al 0.000 0.500 0.000
Cu1 Cu 0.000 0.000 0.500
Ag1 Ag 0.500 0.500 0.500
B1 B 0.000 0.000 0.000
```

***

[7]
This record from Alexandria describes a relaxed AlAg2BIr crystal. The functional is GGA-PBE.

Results
Its energy of formation from the pure elements is 1588 meV/atom. The calculation puts the size of the total moment at 0.00 μB/f.u.

Cell and atoms, written as CIF:
```
data_AlAg2BIr
_chemical_formula_sum 'Al1 Ag2 B1 Ir1'
_cell_length_a 4.780
_cell_length_b 4.780
_cell_length_c 4.534
_cell_angle_alpha 90.00
_cell_angle_beta 90.00
_cell_angle_gamma 90.00
_space_group_name_H-M_alt 'P 4/m m m'
_space_group_IT_number 123
_space_group_name_Hall '-P 4 2'
loop_
_atom_site_label
_atom_site_type_symbol
_atom_site_fract_x
_atom_site_fract_y
_atom_site_fract_z
Al1 Al 0.000 0.000 0.000
Ag1 Ag 0.000 0.500 0.000
B1 B 0.500 0.500 0.500
Ir1 Ir 0.000 0.000 0.500
```

***

[8]
This record from Alexandria describes a relaxed AlAgB2Ir crystal. The functional is GGA-PBE.

Results
Its energy of formation from the pure elements is 1595 meV/atom. The calculation puts the size of the total moment at 0.00 μB/f.u.

Cell and atoms, written as CIF:
```
data_AlAgB2Ir
_chemical_formula_sum 'Al1 Ag1 B2 Ir1'
_cell_length_a 4.118
_cell_length_b 4.118
_cell_length_c 4.656
_cell_angle_alpha 90.00
_cell_angle_beta 90.00
_cell_angle_gamma 90.00
_space_group_name_H-M_alt 'P 4/m m m'
_space_group_IT_number 123
_space_group_name_Hall '-P 4 2'
loop_
_atom_site_label
_atom_site_type_symbol
_atom_site_fract_x
_atom_site_fract_y
_atom_site_fract_z
Al1 Al 0.000 0.000 0.000
Ag1 Ag 0.500 0.500 0.500
B1 B 0.000 0.500 0.000
Ir1 Ir 0.000 0.000 0.500
```

***

[9]
This record from Alexandria describes a relaxed MnAlAg2B crystal. The functional is GGA-PBE.

Results
Its energy of formation from the pure elements is 1669 meV/atom. The calculation puts the size of the total moment at 3.55 μB/f.u.

Cell and atoms, written as CIF:
```
data_MnAlAg2B
_chemical_formula_sum 'Mn1 Al1 Ag2 B1'
_cell_length_a 4.913
_cell_length_b 4.913
_cell_length_c 4.749
_cell_angle_alpha 90.00
_cell_angle_beta 90.00
_cell_angle_gamma 90.00
_space_group_name_H-M_alt 'P 4/m m m'
_space_group_IT_number 123
_space_group_name_Hall '-P 4 2'
loop_
_atom_site_label
_atom_site_type_symbol
_atom_site_fract_x
_atom_site_fract_y
_atom_site_fract_z
Mn1 Mn 0.000 0.000 0.000
Al1 Al 0.000 0.000 0.500
Ag1 Ag 0.000 0.500 0.000
B1 B 0.500 0.500 0.500
```

***

[10]
This record from Alexandria describes a relaxed AlAgBMo2 crystal. The functional is GGA-PBE.

Results
Its energy of formation from the pure elements is 320 meV/atom. The calculation puts the size of the total moment at 0.00 μB/f.u.

Cell and atoms, written as CIF:
```
data_AlAgBMo2
_chemical_formula_sum 'Al1 Ag1 B1 Mo2'
_cell_length_a 4.233
_cell_length_b 4.233
_cell_length_c 4.146
_cell_angle_alpha 90.00
_cell_angle_beta 90.00
_cell_angle_gamma 90.00
_space_group_name_H-M_alt 'P 4/m m m'
_space_group_IT_number 123
_space_group_name_Hall '-P 4 2'
loop_
_atom_site_label
_atom_site_type_symbol
_atom_site_fract_x
_atom_site_fract_y
_atom_site_fract_z
Al1 Al 0.000 0.000 0.000
Ag1 Ag 0.500 0.500 0.000
B1 B 0.000 0.000 0.500
Mo1 Mo 0.000 0.500 0.500
```

***

[11]
This record from Alexandria describes a relaxed AlNi2AgB crystal. The functional is GGA-PBE.

Results
Its energy of formation from the pure elements is 1880 meV/atom. The calculation puts the size of the total moment at 0.00 μB/f.u.

Cell and atoms, written as CIF:
```
data_AlNi2AgB
_chemical_formula_sum 'Al1 Ni2 Ag1 B1'
_cell_length_a 4.660
_cell_length_b 4.660
_cell_length_c 4.627
_cell_angle_alpha 90.00
_cell_angle_beta 90.00
_cell_angle_gamma 90.00
_space_group_name_H-M_alt 'P 4/m m m'
_space_group_IT_number 123
_space_group_name_Hall '-P 4 2'
loop_
_atom_site_label
_atom_site_type_symbol
_atom_site_fract_x
_atom_site_fract_y
_atom_site_fract_z
Al1 Al 0.000 0.000 0.000
Ni1 Ni 0.000 0.500 0.500
Ag1 Ag 0.000 0.000 0.500
B1 B 0.500 0.500 0.000
```

***

[12]
This record from Alexandria describes a relaxed AlAg2BO4 crystal. The functional is GGA-PBE.

Results
The raw formation energy is -1.67 eV per atom. The calculation puts the size of the total moment at 0.00 μB/f.u.

Cell and atoms, written as CIF:
```
data_AlAg2BO4
_chemical_formula_sum 'Al2 Ag4 B2 O8'
_cell_length_a 4.887
_cell_length_b 4.887
_cell_length_c 7.526
_cell_angle_alpha 90.00
_cell_angle_beta 90.00
_cell_angle_gamma 90.00
_space_group_name_H-M_alt 'I -4'
_space_group_IT_number 82
loop_
_space_group_symop_operation_xyz
'x,y,z'
'y,-x,-z'
'-x,-y,z'
'-y,x,-z'
'x+1/2,y+1/2,z+1/2'
'y+1/2,-x+1/2,-z+1/2'
'-x+1/2,-y+1/2,z+1/2'
'-y+1/2,x+1/2,-z+1/2'
loop_
_atom_site_label
_atom_site_type_symbol
_atom_site_fract_x
_atom_site_fract_y
_atom_site_fract_z
Al1 Al 0.000 0.000 0.000
Ag1 Ag 0.000 0.000 0.500
Ag2 Ag 0.000 0.500 0.750
B1 B 0.000 0.500 0.250
O1 O 0.113 0.723 0.135
```

***

Question: Look up the size of the total moment of the ninth one.
Answer: 3.55 μB/f.u.

***

Please write out number 12 again, unchanged.
This record from Alexandria describes a relaxed AlAg2BO4 crystal. The functional is GGA-PBE.

Results
The raw formation energy is -1.67 eV per atom. The calculation puts the size of the total moment at 0.00 μB/f.u.

Cell and atoms, written as CIF:
```
data_AlAg2BO4
_chemical_formula_sum 'Al2 Ag4 B2 O8'
_cell_length_a 4.887
_cell_length_b 4.887
_cell_length_c 7.526
_cell_angle_alpha 90.00
_cell_angle_beta 90.00
_cell_angle_gamma 90.00
_space_group_name_H-M_alt 'I -4'
_space_group_IT_number 82
loop_
_space_group_symop_operation_xyz
'x,y,z'
'y,-x,-z'
'-x,-y,z'
'-y,x,-z'
'x+1/2,y+1/2,z+1/2'
'y+1/2,-x+1/2,-z+1/2'
'-x+1/2,-y+1/2,z+1/2'
'-y+1/2,x+1/2,-z+1/2'
loop_
_atom_site_label
_atom_site_type_symbol
_atom_site_fract_x
_atom_site_fract_y
_atom_site_fract_z
Al1 Al 0.000 0.000 0.000
Ag1 Ag 0.000 0.000 0.500
Ag2 Ag 0.000 0.500 0.750
B1 B 0.000 0.500 0.250
O1 O 0.113 0.723 0.135
```

***

Question: Which formula does entry 1 have?
Answer: Al3AgB

***

Question: The highest size of the total moment belongs to which entry?
Answer: MnAlAg2B